VASP calculation (PBEsol) on crystalline TaZn4Tc at its relaxed geometry.

Cell: 6.881 6.881 6.881 Å, 90.00 90.00 90.00°
Space group F-43m (No. 216)
Asymmetric unit:
Ta 0.000 0.000 0.000 (multiplicity 4)
Zn 0.125 0.125 0.375 (multiplicity 16)
Tc 0.250 0.250 0.750 (multiplicity 4)

D(E_F) ... 0.24 states/eV/atom
Theoretical density ... 11.021 g cm⁻³
Formation enthalpy at 0 K ... -0.118 eV per atom
Total magnetic moment ... 0.0 μB/f.u.

VASP calculation (PBEsol) on crystalline Ta2ZnTc at its relaxed geometry.

Cell: 4.306 4.306 3.358 Å, 90.00 90.00 90.00°
Space group P4/mmm (No. 123)
Asymmetric unit:
Ta 0.000 0.500 0.000 (multiplicity 2)
Zn 0.000 0.000 0.500 (multiplicity 1)
Tc 0.500 0.500 0.500 (multiplicity 1)

D(E_F) ... 0.69 states/eV/atom
Theoretical density ... 14.008 g cm⁻³
Formation enthalpy at 0 K ... -0.080 eV per atom
Total magnetic moment ... 0.0 μB/f.u.

VASP calculation (PBEsol) on crystalline TaZn2Tc at its relaxed geometry.

Cell: 6.120 6.120 6.120 Å, 90.00 90.00 90.00°
Space group Fm-3m (No. 225)
Asymmetric unit:
Ta 0.000 0.000 0.000 (multiplicity 4)
Zn 0.250 0.250 0.250 (multiplicity 8)
Tc 0.000 0.000 0.500 (multiplicity 4)

Energy relative to the lowest polymorph listed for this composition ... 0.629 eV per formula unit
D(E_F) ... 0.92 states/eV/atom
Theoretical density ... 11.874 g cm⁻³
Formation enthalpy at 0 K ... 0.198 eV per atom
Total magnetic moment ... 0.0 μB/f.u.

VASP calculation (PBEsol) on crystalline TaZnTc2 at its relaxed geometry.

Cell: 6.178 6.178 6.178 Å, 90.00 90.00 90.00°
Space group F-43m (No. 216)
Asymmetric unit:
Ta 0.000 0.000 0.000 (multiplicity 4)
Zn 0.250 0.250 0.750 (multiplicity 4)
Tc 0.000 0.000 0.500 (multiplicity 4)
Tc 0.250 0.250 0.250 (multiplicity 4)

D(E_F) ... 0.93 states/eV/atom
Theoretical density ... 12.460 g cm⁻³
Formation enthalpy at 0 K ... 0.160 eV per atom
Total magnetic moment ... 0.0 μB/f.u.

VASP calculation (PBEsol) on crystalline Ta2ZnTc at its relaxed geometry.

Cell: 5.514 8.769 2.719 Å, 90.00 107.30 90.00°
Space group C2/m (No. 12)
Asymmetric unit:
Ta 0.250 0.250 0.000 (multiplicity 4)
Zn 0.000 0.000 0.500 (multiplicity 2)
Tc 0.000 0.500 0.500 (multiplicity 2)

D(E_F) ... 0.69 states/eV/atom
Theoretical density ... 13.899 g cm⁻³
Formation enthalpy at 0 K ... 0.005 eV per atom
Total magnetic moment ... 0.0 μB/f.u.

VASP calculation (PBEsol) on crystalline ZrTa3Tc at its relaxed geometry.

Cell: 4.716 4.716 4.716 Å, 90.00 90.00 90.00°
Space group Pm-3m (No. 221)
Asymmetric unit:
Zr 0.000 0.000 0.000 (multiplicity 1)
Ta 0.000 0.000 0.500 (multiplicity 3)
Tc 0.500 0.500 0.500 (multiplicity 1)

D(E_F) ... 1.49 states/eV/atom
Theoretical density ... 11.593 g cm⁻³
Formation enthalpy at 0 K ... 2.301 eV per atom
Total magnetic moment ... 0.0 μB/f.u.

VASP calculation (PBEsol) on crystalline TaTe3 at its relaxed geometry.

Cell: 3.713 4.545 6.579 Å, 90.00 90.00 90.00°
Space group Pmm2 (No. 25)
Asymmetric unit:
Ta 0.000 0.000 0.000 (multiplicity 1)
Te 0.000 0.500 0.254 (multiplicity 1)
Te 0.500 0.000 0.323 (multiplicity 1)
Te 0.500 0.500 0.809 (multiplicity 1)

D(E_F) ... 0.74 states/eV/atom
Formation energy without anion corrections ... 0.2746 eV per atom
Theoretical density ... 8.432 g cm⁻³
Total magnetic moment ... 0.0 μB/f.u.

VASP calculation (PBEsol) on crystalline TaTe at its relaxed geometry.

Cell: 3.399 5.375 4.515 Å, 90.00 90.00 90.00°
Space group Cmmm (No. 65)
Asymmetric unit:
Ta 0.000 0.000 0.000 (multiplicity 2)
Te 0.000 0.500 0.500 (multiplicity 2)

D(E_F) ... 0.63 states/eV/atom
Formation energy without anion corrections ... 0.5459 eV per atom
Theoretical density ... 12.423 g cm⁻³
Total magnetic moment ... 0.0 μB/f.u.

VASP calculation (PBEsol) on crystalline TaTe at its relaxed geometry.

Cell: 3.659 4.183 6.774 Å, 90.00 90.00 90.00°
Space group Pmmn (No. 59, origin choice 2)
Asymmetric unit:
Ta 0.250 0.250 0.019 (multiplicity 2)
Te 0.250 0.750 0.299 (multiplicity 2)

D(E_F) ... 0.76 states/eV/atom
Formation energy without anion corrections ... -0.1016 eV per atom
Theoretical density ... 9.884 g cm⁻³
Total magnetic moment ... 0.0 μB/f.u.

VASP calculation (PBEsol) on crystalline TaTe at its relaxed geometry.

Cell: 3.3328 3.3328 9.7770 Å, 90.00 90.00 120.00°
Space group P-3m1 (No. 164)
Asymmetric unit:
Ta 0.3333 0.6667 0.1053 (multiplicity 2)
Te 0.3333 0.6667 0.6839 (multiplicity 2)

D(E_F) ... 0.51 states/eV/atom
Formation energy without anion corrections ... -0.0529 eV per atom
Theoretical density ... 10.896 g cm⁻³
Total magnetic moment ... 0.0 μB/f.u.

VASP calculation (PBEsol) on crystalline TaTe at its relaxed geometry.

Cell: 6.224 6.224 6.224 Å, 90.00 90.00 90.00°
Space group F-43m (No. 216)
Asymmetric unit:
Ta 0.000 0.000 0.000 (multiplicity 4)
Te 0.250 0.250 0.250 (multiplicity 4)

D(E_F) ... 1.54 states/eV/atom
Formation energy without anion corrections ... 1.0459 eV per atom
Theoretical density ... 8.500 g cm⁻³
Total magnetic moment ... 1.9 μB/f.u.

VASP calculation (PBEsol) on crystalline Ta3Te at its relaxed geometry.

Cell: 3.469 5.009 8.737 Å, 90.00 90.00 90.00°
Space group Cmmm (No. 65)
Asymmetric unit:
Ta 0.000 0.000 0.000 (multiplicity 2)
Ta 0.000 0.500 0.245 (multiplicity 4)
Te 0.000 0.000 0.500 (multiplicity 2)

D(E_F) ... 0.56 states/eV/atom
Formation energy without anion corrections ... 0.2094 eV per atom
Theoretical density ... 14.669 g cm⁻³
Total magnetic moment ... 0.0 μB/f.u.

VASP calculation (PBEsol) on crystalline Ta3Te at its relaxed geometry.

Cell: 3.505 3.505 6.072 Å, 90.00 90.00 90.00°
Space group P4/mmm (No. 123)
Asymmetric unit:
Ta 0.000 0.000 0.000 (multiplicity 1)
Ta 0.500 0.500 0.235 (multiplicity 2)
Te 0.000 0.000 0.500 (multiplicity 1)

D(E_F) ... 0.76 states/eV/atom
Formation energy without anion corrections ... 0.0717 eV per atom
Theoretical density ... 14.922 g cm⁻³
Total magnetic moment ... 0.0 μB/f.u.

VASP calculation (PBEsol) on crystalline TaTiZnTe2 at its relaxed geometry.

Cell: 5.314 5.314 4.854 Å, 90.00 90.00 90.00°
Space group P4/mmm (No. 123)
Asymmetric unit:
Ta 0.000 0.000 0.000 (multiplicity 1)
Ti 0.000 0.000 0.500 (multiplicity 1)
Zn 0.500 0.500 0.500 (multiplicity 1)
Te 0.000 0.500 0.000 (multiplicity 2)

D(E_F) ... 0.82 states/eV/atom
Formation energy without anion corrections ... 0.7208 eV per atom
Theoretical density ... 6.657 g cm⁻³
Total magnetic moment ... 0.0 μB/f.u.

VASP calculation (PBEsol) on crystalline TaTl3Te at its relaxed geometry.

Cell: 5.667 5.667 5.667 Å, 90.00 90.00 90.00°
Space group Pm-3m (No. 221)
Asymmetric unit:
Ta 0.000 0.000 0.000 (multiplicity 1)
Tl 0.000 0.500 0.500 (multiplicity 3)
Te 0.500 0.500 0.500 (multiplicity 1)

D(E_F) ... 1.49 states/eV/atom
Formation energy without anion corrections ... 1.6356 eV per atom
Theoretical density ... 8.408 g cm⁻³
Total magnetic moment ... 3.7 μB/f.u.